1.
VASP calculation (GGA-PBE) on Pr8Ag2Hg after structural relaxation.

Output
Its crystal system is monoclinic. The value obtained for the formation energy from the elements is -147 meV/atom. The calculation puts the energy above the most stable polymorph in this dataset at 0.0 meV per atom.

The structure in CIF format:
```
data_Pr8Ag2Hg
_symmetry_space_group_name_H-M 'C 1 2/m 1'
_symmetry_Int_Tables_number 12
_symmetry_space_group_name_Hall '-C 2y'
_cell_length_a 16.641
_cell_length_b 5.540
_cell_length_c 8.744
_cell_angle_alpha 90.00
_cell_angle_beta 120.82
_cell_angle_gamma 90.00
loop_
_atom_site_label
_atom_site_type_symbol
_atom_site_fract_x
_atom_site_fract_y
_atom_site_fract_z
Pr1 Pr 0.072 0.000 0.222
Pr2 Pr 0.096 0.500 0.953
Pr3 Pr 0.140 0.000 0.696
Pr4 Pr 0.182 0.500 0.459
Ag1 Ag 0.227 0.000 0.116
Hg1 Hg 0.000 0.500 0.500
```

2.
VASP calculation (GGA-PBE) on CuIrRu2 after structural relaxation.

Output
Its crystal system is cubic. The value obtained for the formation energy from the elements is 427 meV/atom. The calculation puts the energy above the most stable polymorph in this dataset at 297.7 meV per atom.

The structure in CIF format:
```
data_CuIrRu2
_symmetry_space_group_name_H-M 'F m -3 m'
_symmetry_Int_Tables_number 225
_symmetry_space_group_name_Hall '-F 4 2 3'
_cell_length_a 6.072
_cell_length_b 6.072
_cell_length_c 6.072
_cell_angle_alpha 90.00
_cell_angle_beta 90.00
_cell_angle_gamma 90.00
loop_
_atom_site_label
_atom_site_type_symbol
_atom_site_fract_x
_atom_site_fract_y
_atom_site_fract_z
Cu1 Cu 0.000 0.000 0.000
Ir1 Ir 0.000 0.000 0.500
Ru1 Ru 0.250 0.250 0.250
```

What did the second record say?
VASP calculation (GGA-PBE) on CuIrRu2 after structural relaxation.

Output
Its crystal system is cubic. The value obtained for the formation energy from the elements is 427 meV/atom. The calculation puts the energy above the most stable polymorph in this dataset at 297.7 meV per atom.

The structure in CIF format:
```
data_CuIrRu2
_symmetry_space_group_name_H-M 'F m -3 m'
_symmetry_Int_Tables_number 225
_symmetry_space_group_name_Hall '-F 4 2 3'
_cell_length_a 6.072
_cell_length_b 6.072
_cell_length_c 6.072
_cell_angle_alpha 90.00
_cell_angle_beta 90.00
_cell_angle_gamma 90.00
loop_
_atom_site_label
_atom_site_type_symbol
_atom_site_fract_x
_atom_site_fract_y
_atom_site_fract_z
Cu1 Cu 0.000 0.000 0.000
Ir1 Ir 0.000 0.000 0.500
Ru1 Ru 0.250 0.250 0.250
```